1.
## Tb2Dy2ErMg2 (PBE-GGA)

Data for Tb2Dy2ErMg2 after structural relaxation.

* DOS at the Fermi energy: 1.123 states/eV per atom
* SG: R-3m, No. 166
* E_form: -11 kJ/mol of formula units
* calculated total energy: -3.761 eV/atom

a = 5.427 Å, b = 5.427 Å, c = 8.577 Å
α = 71.56°, β = 71.56°, γ = 60.00°
Element x y z (fractional)
Dy: 0.574 0.574 0.279
Dy: 0.426 0.426 0.721
Tb: 0.845 0.845 0.464
Tb: 0.155 0.155 0.536
Mg: 0.289 0.289 0.132
Mg: 0.711 0.711 0.868
Er: 0.000 0.000 0.000

2.
## ZrCo2SnH (PBE-GGA)

Data for ZrCo2SnH after structural relaxation.

* DOS at the Fermi energy: 0.993 states/eV per atom
* SG: P4/mmm, No. 123
* calculated total energy: -6.149 eV/atom

a = 4.133 Å, b = 4.133 Å, c = 3.900 Å
α = 90.00°, β = 90.00°, γ = 90.00°
Element x y z (fractional)
Sn: 0.500 0.500 0.500
Co: 0.500 0.000 0.000
Co: 0.000 0.500 0.000
Zr: 0.000 0.000 0.500
H: 0.000 0.000 0.000